# Er4GaGeSe2

Er4GaGeSe2 after structural relaxation (PBE-GGA, Alexandria).

a = 7.0914 Å, b = 7.0914 Å, c = 7.0914 Å
α = 131.97°, β = 131.97°, γ = 70.27°
With the nearest neighbours (Å) after each atom.
Element x y z (fractional)
Er (0.0014, 0.5014, 0.5000)  3 Se 2.88-2.89, 2 Ge 2.89, 1 Ga 2.92
Er (0.2480, 0.2480, 0.0000)  1 Ge 2.88, 2 Ga 2.89, 3 Se 2.89-2.92
Er (0.4986, 0.9986, 0.5000)  3 Se 2.88-2.89, 2 Ge 2.89, 1 Ga 2.92
Er (0.7520, 0.7520, 0.0000)  1 Ge 2.88, 2 Ga 2.89, 3 Se 2.89-2.92
Ga (0.7500, 0.2500, 0.5000)  6 Er 2.89-2.92
Ge (0.0000, 0.0000, 0.0000)  6 Er 2.88-2.89
Se (0.2500, 0.7500, 0.5000)  6 Er 2.88-2.89
Se (0.5000, 0.5000, 0.0000)  6 Er 2.89-2.92

Summary:
DFT total energy (eV per atom): -5.341
Formation energy (no corrections) (meV per atom): -1233
Calculated volume (Å³ per cell): 193.2